Compound: La2AlPt
Source: the Alexandria database
Functional: meta-GGA SCAN
Structure: PBEsol geometry

```
La2AlPt
1.0
3.704 0.000 0.000
0.000 3.704 0.000
0.000 0.000 7.246
La Al Pt
2 1 1
Direct
0.000 0.000 0.231 La
0.000 0.000 0.769 La
0.500 0.500 0.500 Al
0.500 0.500 0.000 Pt
```

Properties
Space-group type = No. 123
DFT formation energy = -18.39 kcal/mol of atoms
E = -41.836 eV per atom
Fermi-level density of states = 0.50 states/eV/atom

***

Compound: LaAl3Pt
Source: the Alexandria database
Functional: meta-GGA SCAN
Structure: PBEsol geometry

```
LaAl3Pt
1.0
5.362 0.000 0.000
0.000 5.362 0.000
0.000 0.000 5.362
La Al Pt
1 3 1
Direct
0.000 0.000 0.000 La
0.000 0.000 0.500 Al
0.000 0.500 0.000 Al
0.500 0.000 0.000 Al
0.500 0.500 0.500 Pt
```

Properties
Space-group type = No. 221
DFT formation energy = 43.56 kcal/mol of atoms
E = -25.422 eV per atom
Fermi-level density of states = 1.10 states/eV/atom

***

Compound: La2AlPt
Source: the Alexandria database
Functional: meta-GGA SCAN
Structure: PBEsol geometry

```
La2AlPt
1.0
4.212 0.000 0.000
0.000 2.290 5.347
0.000 -2.290 5.347
La Al Pt
2 1 1
Direct
0.000 0.000 0.000 La
0.500 0.294 0.294 La
0.500 0.590 0.590 Al
0.000 0.724 0.724 Pt
```

Properties
Space-group type = No. 38
DFT formation energy = -20.87 kcal/mol of atoms
E = -41.944 eV per atom
Fermi-level density of states = 1.12 states/eV/atom